Crystalline RbMnZnCl5 at its relaxed geometry, computed with PBE.

Cell and atoms, written as CIF:
```
data_RbMnZnCl5
_chemical_formula_sum 'Rb4 Mn4 Zn4 Cl20'
_space_group_name_H-M_alt 'C 1 2/c 1'
_space_group_IT_number 15
_cell_length_a 8.866
_cell_length_b 11.794
_cell_length_c 9.271
_cell_angle_alpha 90.00
_cell_angle_beta 112.49
_cell_angle_gamma 90.00
loop_
_space_group_symop_operation_xyz
'x,y,z'
'-x,-y,-z'
'-x,y,-z+1/2'
'x,-y,z+1/2'
'x+1/2,y+1/2,z'
'-x+1/2,-y+1/2,-z'
'-x+1/2,y+1/2,-z+1/2'
'x+1/2,-y+1/2,z+1/2'
loop_
_atom_site_label
_atom_site_type_symbol
_atom_site_fract_x
_atom_site_fract_y
_atom_site_fract_z
Rb1 Rb 0.000 0.158 0.250
Mn1 Mn 0.000 0.500 0.000
Zn1 Zn 0.000 0.190 0.750
Cl1 Cl 0.000 0.436 0.250
Cl2 Cl 0.104 0.299 0.605
Cl3 Cl 0.193 0.075 0.929
```

Output
Formation energy from raw total energies   -1.338 eV per atom

***

Crystalline BaBr3 at its relaxed geometry, computed with PBE.

Cell and atoms, written as CIF:
```
data_BaBr3
_chemical_formula_sum 'Ba2 Br6'
_space_group_name_H-M_alt 'C m m m'
_space_group_IT_number 65
_space_group_name_Hall '-C 2 2'
_cell_length_a 6.167
_cell_length_b 7.620
_cell_length_c 5.680
_cell_angle_alpha 90.00
_cell_angle_beta 90.00
_cell_angle_gamma 90.00
loop_
_atom_site_label
_atom_site_type_symbol
_atom_site_fract_x
_atom_site_fract_y
_atom_site_fract_z
Ba1 Ba 0.000 0.000 0.000
Br1 Br 0.000 0.500 0.000
Br2 Br 0.250 0.250 0.500
```

Output
Formation energy from raw total energies   -1.427 eV per atom

***

Crystalline TlInAg2 at its relaxed geometry, computed with PBE.

Cell and atoms, written as CIF:
```
data_TlInAg2
_chemical_formula_sum 'Tl4 In4 Ag8'
_space_group_name_H-M_alt 'F -4 3 m'
_space_group_IT_number 216
_space_group_name_Hall 'F -4 2 3'
_cell_length_a 7.160
_cell_length_b 7.160
_cell_length_c 7.160
_cell_angle_alpha 90.00
_cell_angle_beta 90.00
_cell_angle_gamma 90.00
loop_
_atom_site_label
_atom_site_type_symbol
_atom_site_fract_x
_atom_site_fract_y
_atom_site_fract_z
Tl1 Tl 0.000 0.000 0.000
In1 In 0.250 0.250 0.750
Ag1 Ag 0.000 0.000 0.500
Ag2 Ag 0.250 0.250 0.250
```

Output
ΔH_f (0 K)   0.157 eV per atom

***

| no. | DFT total energy (eV per atom) | V (Å³ per cell) |
| --- | --- | --- |
| 1 | -3.92 | 895.7 |
| 2 | -3.16 | 266.9 |
| 3 | -2.55 | 367.1 |